# PuInGe2, optimized geometry, DFT PBE-GGA
# SG: P4/mmm
# DFT formation energy (eV/atom): -0.32
data_PuInGe2
_chemical_formula_sum 'Pu1 In1 Ge2'
_space_group_name_H-M_alt 'P 1'
_space_group_IT_number 1
_cell_length_a 4.553
_cell_length_b 4.553
_cell_length_c 4.105
_cell_angle_alpha 90.00
_cell_angle_beta 90.00
_cell_angle_gamma 90.00
loop_
_space_group_symop_operation_xyz
'x,y,z'
loop_
_atom_site_label
_atom_site_type_symbol
_atom_site_fract_x
_atom_site_fract_y
_atom_site_fract_z
_atom_site_occupancy
Pu1 Pu 0.000 0.000 0.000 1
In1 In 0.500 0.500 0.000 1
Ge1 Ge 0.000 0.500 0.500 1
Ge2 Ge 0.500 0.000 0.500 1